No. 1
Crystalline Th6HgIr3Rh2 at its relaxed geometry. Source: Alexandria, functional GGA-PBE.

Lattice parameters (Å, degrees): 4.1564 8.4743 9.2172 100.54 103.03 90.00
Fractional positions:
Th 0.9925 0.7212 0.9850
Th 0.6801 0.1002 0.3602
Th 0.6664 0.5983 0.3329
Th 0.3199 0.8998 0.6398
Th 0.3336 0.4017 0.6671
Th 0.0075 0.2788 0.0150
Ir 0.1592 0.8447 0.3184
Ir 0.5000 0.5000 0.0000
Ir 0.8408 0.1553 0.6816
Rh 0.1705 0.3430 0.3410
Rh 0.8295 0.6570 0.6590
Hg 0.5000 0.0000 0.0000

For the total energy, the calculation gives -7.981 eV/atom. The calculation puts the volume at 311 Å³/f.u. The value obtained for the formation enthalpy at 0 K is -18.57 kcal/mol of atoms. Its symmetry is C2/m, No. 12.

***

No. 2
Crystalline ThHgIrRh at its relaxed geometry. Source: Alexandria, functional GGA-PBE.

Lattice parameters (Å, degrees): 4.8447 4.8447 4.8447 60.00 60.00 60.00
Fractional positions:
Th 0.5000 0.5000 0.5000
Ir 0.7500 0.7500 0.7500
Rh 0.2500 0.2500 0.2500
Hg 0.0000 0.0000 0.0000

For the total energy, the calculation gives -6.420 eV/atom. The calculation puts the volume at 80 Å³/f.u. The value obtained for the formation enthalpy at 0 K is -10.05 kcal/mol of atoms. Its symmetry is F-43m, No. 216.

***

No. 3
Crystalline TlHg2IrRh at its relaxed geometry. Source: Alexandria, functional GGA-PBE.

Lattice parameters (Å, degrees): 5.1360 5.1081 5.1360 90.00 90.00 90.00
Fractional positions:
Tl 0.0000 0.5000 0.0000
Hg 0.5000 0.0000 0.0000
Hg 0.0000 0.0000 0.5000
Rh 0.0000 0.0000 0.0000
Ir 0.5000 0.5000 0.5000

For the total energy, the calculation gives -2.706 eV/atom. The calculation puts the volume at 135 Å³/f.u. The value obtained for the formation enthalpy at 0 K is 26.06 kcal/mol of atoms. Its symmetry is P4/mmm, No. 123.

***

No. 4
Crystalline Tm5Hg2IrRh2 at its relaxed geometry. Source: Alexandria, functional GGA-PBE.

Lattice parameters (Å, degrees): 3.5279 11.3679 11.3679 90.00 90.00 90.00
Fractional positions:
Ir 0.0000 0.5000 0.5000
Ir 0.0000 0.0000 0.0000
Rh 0.0000 0.3676 0.1324
Rh 0.0000 0.6324 0.8676
Rh 0.0000 0.8676 0.3676
Rh 0.0000 0.1324 0.6324
Hg 0.0000 0.8275 0.6725
Hg 0.0000 0.6725 0.1725
Hg 0.0000 0.3275 0.8275
Hg 0.0000 0.1725 0.3275
Tm 0.5000 0.0775 0.8086
Tm 0.5000 0.3086 0.5775
Tm 0.5000 0.6914 0.4225
Tm 0.5000 0.9225 0.1914
Tm 0.5000 0.5775 0.6914
Tm 0.5000 0.0000 0.5000
Tm 0.5000 0.5000 0.0000
Tm 0.5000 0.4225 0.3086
Tm 0.5000 0.8086 0.9225
Tm 0.5000 0.1914 0.0775

For the total energy, the calculation gives -5.308 eV/atom. The calculation puts the volume at 228 Å³/f.u. The value obtained for the formation enthalpy at 0 K is -15.12 kcal/mol of atoms. Its symmetry is P4/mbm, No. 127.